1.
IrPtSeBr2 | GGA-PBE | relaxed

a b c (Å): 5.1828 5.1828 4.6551
angles (deg): 90.00 90.00 90.00
Positions (direct):
Se 0.0000 0.0000 0.5000
Br 0.0000 0.5000 0.0000
Ir 0.0000 0.0000 0.0000
Pt 0.5000 0.5000 0.5000
Br 0.5000 0.0000 0.0000

Values from the calculation:
Calculated density = 8.3 g cm⁻³
Symmetry = P4/mmm
Energy = -3.407 eV per atom
Calculated volume = 125 Å³/f.u.
Offset from the most stable computed form = 0.000 eV/atom
Energy relative to the elements, uncorrected = 0.94 eV per atom


2.
Zr2SbCl | GGA-PBE | relaxed

a b c (Å): 5.0700 5.0700 7.5965
angles (deg): 59.83 59.83 40.51
Positions (direct):
Zr 0.0416 0.0416 0.0650
Cl 0.7500 0.7500 0.7500
Zr 0.4584 0.4584 0.4350
Sb 0.2500 0.2500 0.2500

Values from the calculation:
Calculated density = 5.3 g cm⁻³
Symmetry = C2/m
Energy = -6.318 eV per atom
Calculated volume = 107 Å³/f.u.
Offset from the most stable computed form = 0.160 eV/atom
Energy relative to the elements, uncorrected = -0.55 eV per atom


3.
UIn2 | GGA-PBE | relaxed

a b c (Å): 5.9439 5.9439 5.9439
angles (deg): 60.00 60.00 60.00
Positions (direct):
U 0.2500 0.2500 0.2500
In 0.6250 0.6250 0.1250
U 0.0000 0.0000 0.0000
In 0.6250 0.6250 0.6250
In 0.1250 0.6250 0.6250
In 0.6250 0.1250 0.6250

Values from the calculation:
Calculated density = 10.5 g cm⁻³
Symmetry = Fd-3m
Energy = -5.397 eV per atom
Calculated volume = 74 Å³/f.u.
E_form = 192 meV/atom


4.
Ce2NdNiN4 | GGA-PBE | relaxed

a b c (Å): 3.4947 6.0372 11.6342
angles (deg): 90.00 90.00 106.82
Positions (direct):
N 0.5552 0.1103 0.2500
Ce 0.3686 0.7373 0.9433
Ce 0.6314 0.2627 0.4433
N 0.7326 0.4652 0.6200
N 0.2674 0.5348 0.1200
Ce 0.3686 0.7373 0.5567
N 0.2674 0.5348 0.3800
Ni 0.1570 0.3139 0.2500
Ni 0.8430 0.6861 0.7500
N 0.7326 0.4652 0.8800
Ce 0.6314 0.2627 0.0567
N 0.4448 0.8897 0.7500
N 0.0000 0.0000 0.0000
Nd 0.8941 0.7883 0.2500
Nd 0.1059 0.2117 0.7500
N 0.0000 0.0000 0.5000

Values from the calculation:
Calculated density = 7.6 g cm⁻³
Symmetry = Cmcm
Energy = -8.075 eV per atom
Calculated volume = 117 Å³/f.u.
Energy relative to the elements, uncorrected = -1.11 eV per atom


5.
YMo2 | GGA-PBE | relaxed

a b c (Å): 3.0856 5.2612 7.6287
angles (deg): 90.00 90.00 90.00
Positions (direct):
Y 0.5000 0.5000 0.5000
Mo 0.2464 0.5000 0.8705
Mo 0.7464 0.0000 0.6295
Mo 0.7536 0.5000 0.1295
Y 0.0000 0.0000 0.0000
Mo 0.2536 0.0000 0.3705

Values from the calculation:
Calculated density = 7.5 g cm⁻³
Symmetry = Pnnm
Energy = -8.668 eV per atom
Calculated volume = 62 Å³/f.u.
E_form = 707 meV/atom


6.
TiNb6Sn | GGA-PBE | relaxed

a b c (Å): 5.0036 2.7525 11.0551
angles (deg): 90.00 90.00 90.00
Positions (direct):
Nb 0.5000 0.0000 0.6338
Sn 0.0000 0.0000 0.5000
Nb 0.5000 0.0000 0.3662
Ti 0.0000 0.0000 0.0000
Nb 0.5000 0.5000 0.1230
Nb 0.5000 0.5000 0.8770
Nb 0.0000 0.5000 0.2529
Nb 0.0000 0.5000 0.7471

Values from the calculation:
Calculated density = 7.9 g cm⁻³
Symmetry = Pmmm
Energy = -8.864 eV per atom
Calculated volume = 152 Å³/f.u.
E_form = 176 meV/atom


7.
SrCa5Ac4 | GGA-PBE | relaxed

a b c (Å): 3.9260 3.9260 28.6246
angles (deg): 90.00 90.00 90.00
Positions (direct):
Ac 0.0000 0.0000 0.7965
Ac 0.0000 0.0000 0.2035
Ca 0.5000 0.5000 0.6974
Ca 0.5000 0.5000 0.3026
Ca 0.5000 0.5000 0.5000
Ca 0.5000 0.5000 0.8939
Ac 0.0000 0.0000 0.4013
Sr 0.0000 0.0000 0.0000
Ca 0.5000 0.5000 0.1061
Ac 0.0000 0.0000 0.5987

Values from the calculation:
Calculated density = 4.5 g cm⁻³
Symmetry = P4/mmm
Energy = -2.753 eV per atom
Calculated volume = 441 Å³/f.u.
E_form = 59 meV/atom


8.
Mn2CdGeI | GGA-PBE | relaxed

a b c (Å): 4.9595 5.8407 4.9595
angles (deg): 90.00 90.00 90.00
Positions (direct):
Cd 0.0000 0.5000 0.0000
I 0.0000 0.0000 0.0000
Mn 0.0000 0.0000 0.5000
Ge 0.5000 0.5000 0.5000
Mn 0.5000 0.0000 0.0000

Values from the calculation:
Calculated density = 4.9 g cm⁻³
Symmetry = P4/mmm
Energy = -3.781 eV per atom
Calculated volume = 144 Å³/f.u.
Energy relative to the elements, uncorrected = 1.30 eV per atom